[1]
This record from the Alexandria database describes a geometry-optimized Sm2PuThSb4 structure. The functional is PBE.

Results
final energy: -55.60 eV per cell

Lattice parameters (Å, degrees): 7.748 4.478 7.749 90.00 109.48 90.00
Atoms (fractional coordinates):
Sm 0.000 0.000 0.000
Sm 0.500 0.500 0.000
Pu 0.000 0.500 0.500
Th 0.500 0.000 0.500
Sb 0.247 0.000 0.748
Sb 0.248 0.500 0.249
Sb 0.752 0.500 0.751
Sb 0.753 0.000 0.252

---

[2]
This record from the Alexandria database describes a geometry-optimized SmTm2PuSb4 structure. The functional is PBE.

Results
final energy: -52.23 eV per cell

Lattice parameters (Å, degrees): 7.596 4.403 7.613 90.00 109.51 90.00
Atoms (fractional coordinates):
Sm 0.000 0.000 0.000
Tm 0.500 0.000 0.500
Tm 0.500 0.500 0.000
Pu 0.000 0.500 0.500
Sb 0.256 0.000 0.750
Sb 0.258 0.500 0.254
Sb 0.742 0.500 0.746
Sb 0.744 0.000 0.250

---

[3]
This record from the Alexandria database describes a geometry-optimized Sm2PuUSb4 structure. The functional is PBE.

Results
final energy: -57.84 eV per cell

Lattice parameters (Å, degrees): 7.641 4.415 7.749 90.00 109.18 90.00
Atoms (fractional coordinates):
Sm 0.000 0.000 0.000
Sm 0.500 0.500 0.000
Pu 0.000 0.500 0.500
U 0.500 0.000 0.500
Sb 0.251 0.000 0.745
Sb 0.254 0.500 0.255
Sb 0.746 0.500 0.745
Sb 0.749 0.000 0.255

---

[4]
This record from the Alexandria database describes a geometry-optimized SmPu2USb4 structure. The functional is PBE.

Results
final energy: -66.14 eV per cell

Lattice parameters (Å, degrees): 7.661 7.661 7.661 131.83 131.83 70.50
Atoms (fractional coordinates):
Sm 0.000 0.000 0.000
Pu 0.500 0.500 0.000
Pu 0.750 0.250 0.500
U 0.250 0.750 0.500
Sb 0.003 0.503 0.500
Sb 0.251 0.251 0.000
Sb 0.497 0.997 0.500
Sb 0.749 0.749 0.000

---

[5]
This record from the Alexandria database describes a geometry-optimized Pu6Sn2Sb structure. The functional is PBE.

Results
final energy: -99.82 eV per cell

Lattice parameters (Å, degrees): 8.914 8.914 3.352 90.00 90.00 120.00
Atoms (fractional coordinates):
Pu 0.000 0.332 0.000
Pu 0.000 0.668 0.000
Pu 0.332 0.000 0.000
Pu 0.332 0.332 0.000
Pu 0.668 0.000 0.000
Pu 0.668 0.668 0.000
Sn 0.333 0.667 0.500
Sn 0.667 0.333 0.500
Sb 0.000 0.000 0.500

---

[6]
This record from the Alexandria database describes a geometry-optimized PuSn2Sb structure. The functional is PBE.

Results
excess energy over the best structure of this formula in the dataset: 202.6 meV/atom

Lattice parameters (Å, degrees): 4.075 4.075 6.408 90.00 90.00 90.00
Atoms (fractional coordinates):
Pu 0.000 0.000 0.000
Sn 0.500 0.500 0.259
Sn 0.500 0.500 0.741
Sb 0.000 0.000 0.500

---

Values for density, g/cm³, ordered as above
8.3 8.4 8.5 9.3 13.1 9.4
Values for D(E_F), states/eV per cell, ordered as above
17.045 16.236 18.671 39.298 28.868 8.826